# V2NiIr

V2NiIr after structural relaxation (PBE, Alexandria via LeMat-Bulk).

Values from the calculation:
- Formation energy: -0.38 eV per atom
- DOS(E_F): 2.9 states/eV/cell
- V: 12.9 A^3/atom

The structure in CIF format:
```
data_V2NiIr
_cell_length_a 3.7169
_cell_length_b 3.7169
_cell_length_c 3.7450
_cell_angle_alpha 90.00
_cell_angle_beta 90.00
_cell_angle_gamma 90.00
_symmetry_space_group_name_H-M 'P 4/m m m'
_symmetry_Int_Tables_number 123
_symmetry_space_group_name_Hall '-P 4 2'
loop_
_atom_site_label
_atom_site_fract_x
_atom_site_fract_y
_atom_site_fract_z
V1 0.0000 0.5000 0.0000
Ni1 0.0000 0.0000 0.5000
Ir1 0.5000 0.5000 0.5000
```